Density functional theory data (GGA+U) for an optimized crystal structure of CoI2O.

Calculated values
calculated volume: 322.15 Å³ per cell
DOS at the Fermi energy: 13.69 states/eV/cell
electronic total energy: -2.563 eV/atom

Cell: 6.855 6.855 6.855 Å, 90.00 90.00 90.00°
Space group Fm-3m (No. 225)
Inequivalent atoms, fractional coordinates:
Co (0.000, 0.000, 0.000)
I (0.250, 0.250, 0.250)
O (0.000, 0.000, 0.500)